Entry 1:
Density functional theory data (PBE) for crystalline KNb2Co at its relaxed geometry.

Cell lengths 8.9366, 8.9366, 8.9366 Å; angles 145.92, 145.92, 48.97 degrees
With the nearest neighbours (Å) after each atom.
Atoms (fractional coordinates):
K1 0.3750 0.6250 0.7500  8 Nb 3.56, 4 Co 3.70
K2 0.6250 0.3750 0.2500  8 Nb 3.56, 4 Co 3.70
Nb1 0.0000 0.0000 0.0000  2 Co 2.42, 2 Nb 2.62
Nb2 0.0000 0.0000 0.5000  2 Co 2.42, 2 Nb 2.62
Nb3 0.0000 0.5000 0.0000  2 Co 2.42, 2 Nb 2.62
Nb4 0.5000 0.0000 0.5000  2 Co 2.42, 2 Nb 2.62
Co1 0.1250 0.8750 0.2500  4 Nb 2.42
Co2 0.8750 0.1250 0.7500  4 Nb 2.42

Output
SG: I4_1/amd, No. 141
ΔH_f (0 K): 1.46 eV/atom

Entry 2:
Density functional theory data (PBE) for crystalline In4Ga at its relaxed geometry.

Cell lengths 6.7635, 6.7635, 5.7446 Å; angles 90.00, 90.00, 90.00 degrees
With the nearest neighbours (Å) after each atom.
Atoms (fractional coordinates):
In1 0.0857 0.5857 0.2347  2 Ga 2.95, 2 In 3.14-3.16
In2 0.0857 0.9143 0.7653  2 Ga 2.95, 2 In 3.14-3.16
In3 0.4143 0.5857 0.7653  2 Ga 2.95, 2 In 3.14-3.16
In4 0.4143 0.9143 0.2347  2 Ga 2.95, 2 In 3.14-3.16
In5 0.5857 0.0857 0.7653  2 Ga 2.95, 2 In 3.14-3.16
In6 0.5857 0.4143 0.2347  2 Ga 2.95, 2 In 3.14-3.16
In7 0.9143 0.0857 0.2347  2 Ga 2.95, 2 In 3.14-3.16
In8 0.9143 0.4143 0.7653  2 Ga 2.95, 2 In 3.14-3.16
Ga1 0.2500 0.2500 0.5000  8 In 2.95
Ga2 0.7500 0.7500 0.5000  8 In 2.95

Output
SG: P4/nbm, No. 125
ΔH_f (0 K): 0.04 eV/atom

Entry 3:
Density functional theory data (PBE) for crystalline Si3GePt at its relaxed geometry.

Cell lengths 4.7150, 4.7150, 4.7150 Å; angles 90.00, 90.00, 90.00 degrees
With the nearest neighbours (Å) after each atom.
Atoms (fractional coordinates):
Si1 0.0000 0.0000 0.5000  2 Pt 2.36
Si2 0.0000 0.5000 0.0000  2 Pt 2.36
Si3 0.5000 0.0000 0.0000  2 Pt 2.36
Ge1 0.5000 0.5000 0.5000  12 Si 3.33
Pt1 0.0000 0.0000 0.0000  6 Si 2.36

Output
SG: Pm-3m, No. 221
E_form (uncorrected): 0.59 eV per atom

Entry 4:
Density functional theory data (PBE) for crystalline KV3Ru at its relaxed geometry.

Cell lengths 4.8371, 4.8371, 4.8371 Å; angles 90.00, 90.00, 90.00 degrees
With the nearest neighbours (Å) after each atom.
Atoms (fractional coordinates):
K1 0.0000 0.0000 0.0000  12 V 3.42
V1 0.0000 0.5000 0.5000  2 Ru 2.42
V2 0.5000 0.0000 0.5000  2 Ru 2.42
V3 0.5000 0.5000 0.0000  2 Ru 2.42
Ru1 0.5000 0.5000 0.5000  6 V 2.42

Output
SG: Pm-3m, No. 221
ΔH_f (0 K): 1.08 eV/atom

Entry 5:
Density functional theory data (PBE) for crystalline SrPBr2 at its relaxed geometry.

Cell lengths 7.7543, 7.7543, 5.0663 Å; angles 90.07, 90.07, 28.47 degrees
With the nearest neighbours (Å) after each atom.
Atoms (fractional coordinates):
Sr1 0.0000 0.0000 0.0000  4 Br 3.12, 4 P 3.17
P1 0.5000 0.5000 0.5000  2 Br 2.57
Br1 0.3550 0.3550 0.2304  1 P 2.57
Br2 0.6450 0.6450 0.7696  1 P 2.57

Output
SG: C2/m, No. 12
E_form (uncorrected): -0.88 eV per atom

Entry 6:
Density functional theory data (PBE) for crystalline KIN2 at its relaxed geometry.

Cell lengths 6.6123, 6.6123, 6.6123 Å; angles 126.99, 126.99, 78.27 degrees
With the nearest neighbours (Å) after each atom.
Atoms (fractional coordinates):
K1 0.0000 0.0000 0.0000  4 N 2.90
K2 0.7500 0.2500 0.5000  4 N 2.90
I1 0.2500 0.7500 0.5000  4 N 2.12
I2 0.5000 0.5000 0.0000  4 N 2.12
N1 0.2377 0.6250 0.1127  2 I 2.12
N2 0.3750 0.4877 0.6127  2 I 2.12
N3 0.5123 0.1250 0.8873  2 I 2.12
N4 0.8750 0.7623 0.3873  2 I 2.12

Output
SG: I-42d, No. 122
E_form (uncorrected): 1.21 eV per atom

Entry 7:
Density functional theory data (PBE) for crystalline ReBi3Br at its relaxed geometry.

Cell lengths 5.3874, 5.3874, 5.3874 Å; angles 90.00, 90.00, 90.00 degrees
With the nearest neighbours (Å) after each atom.
Atoms (fractional coordinates):
Re1 0.0000 0.0000 0.0000  6 Bi 2.69
Bi1 0.0000 0.0000 0.5000  2 Re 2.69
Bi2 0.0000 0.5000 0.0000  2 Re 2.69
Bi3 0.5000 0.0000 0.0000  2 Re 2.69
Br1 0.5000 0.5000 0.5000  12 Bi 3.81

Output
SG: Pm-3m, No. 221
E_form (uncorrected): 0.55 eV per atom

Entry 8:
Density functional theory data (PBE) for crystalline Rb2NaAgS at its relaxed geometry.

Cell lengths 6.2907, 6.2907, 5.4589 Å; angles 90.00, 90.00, 90.00 degrees
With the nearest neighbours (Å) after each atom.
Atoms (fractional coordinates):
Rb1 0.0000 0.5000 0.0000  2 Ag 3.15
Rb2 0.5000 0.0000 0.0000  2 Ag 3.15
Na1 0.0000 0.0000 0.5000  2 Ag 2.73
Ag1 0.0000 0.0000 0.0000  2 Na 2.73
S1 0.5000 0.5000 0.5000  8 Rb 4.16, 4 Na 4.45

Output
SG: P4/mmm, No. 123
E_form (uncorrected): -0.06 eV per atom

no.,E above lowest polymorph (kcal/mol of atoms)
1,3.065
2,0.321
3,0.000
4,0.000
5,0.000
6,44.115
7,0.000
8,10.156